Density functional theory data (PBE-GGA) for a relaxed structure of CdRe2Hg.

Cell and atoms, written as POSCAR:
```
CdRe2Hg
1.0
5.411 0.011 0.000
-2.599 4.746 0.000
0.000 0.000 2.740
Re Hg Cd
2 1 1
Direct
0.000 0.000 0.000 Re
0.500 0.500 0.000 Re
0.000 0.500 0.500 Hg
0.500 0.000 0.500 Cd
```

Properties
excess energy over the best structure of this formula in the dataset = 0.6807 eV per atom
energy relative to the elements = 0.994 eV per atom